## Pm7Pr2Ho (PBE)

Data for a geometry-optimized Pm7Pr2Ho structure.

Properties
Electronic total energy = -4.36 eV/atom
Space group = Cmmm, No. 65
Energy of formation = 0.3800 eV/atom
Crystal system = orthorhombic
M_tot = 0.0 μB per formula unit

a b c (Å): 10.3502 10.3502 3.5721
angles (deg): 90.00 90.00 109.04
Positions (direct):
Pm1 0.0000 0.0000 0.0000
Pm2 0.1205 0.3706 0.0000
Pm3 0.1749 0.8251 0.5000
Pm4 0.3706 0.1205 0.0000
Pm5 0.6294 0.8795 0.0000
Pm6 0.8251 0.1749 0.5000
Pm7 0.8795 0.6294 0.0000
Pr1 0.3289 0.6711 0.0000
Pr2 0.6711 0.3289 0.0000
Ho1 0.5000 0.5000 0.5000